[1]
Material: EuTaO4
Method: DFT, PBE
State: optimized geometry

E_form (uncorrected): -2.88 eV per atom
crystal system: monoclinic
mass density: 8.26 Mg/m³

CIF file:
```
data_EuTaO4
_cell_length_a 7.164
_cell_length_b 11.260
_cell_length_c 5.147
_cell_angle_alpha 90.00
_cell_angle_beta 129.78
_cell_angle_gamma 90.00
_space_group_name_H-M_alt 'C 1 2/c 1'
_space_group_IT_number 15
loop_
_space_group_symop_operation_xyz
'x,y,z'
'-x,-y,-z'
'-x,y,-z+1/2'
'x,-y,z+1/2'
'x+1/2,y+1/2,z'
'-x+1/2,-y+1/2,-z'
'-x+1/2,y+1/2,-z+1/2'
'x+1/2,-y+1/2,z+1/2'
loop_
_atom_site_label
_atom_site_fract_x
_atom_site_fract_y
_atom_site_fract_z
_atom_site_occupancy
Eu1 0.000 0.133 0.250 1
Ta1 0.000 0.402 0.750 1
O1 0.152 0.292 0.663 1
O2 0.234 0.470 0.206 1
```

[2]
Material: EuTaO4
Method: DFT, PBE
State: optimized geometry

E_form (uncorrected): -2.89 eV per atom
crystal system: monoclinic
mass density: 8.18 Mg/m³

CIF file:
```
data_EuTaO4
_cell_length_a 5.256
_cell_length_b 5.688
_cell_length_c 5.428
_cell_angle_alpha 90.00
_cell_angle_beta 96.68
_cell_angle_gamma 90.00
_space_group_name_H-M_alt 'P 1 2/c 1'
_space_group_IT_number 13
loop_
_space_group_symop_operation_xyz
'x,y,z'
'-x,-y,-z'
'-x,y,-z+1/2'
'x,-y,z+1/2'
loop_
_atom_site_label
_atom_site_fract_x
_atom_site_fract_y
_atom_site_fract_z
_atom_site_occupancy
Eu1 0.000 0.222 0.250 1
Ta1 0.500 0.321 0.750 1
O1 0.253 0.100 0.612 1
O2 0.280 0.430 0.007 1
```